Entry 1:
Material: KZnAg2F5
Method: DFT, PBE
State: relaxed

abc: 6.894 6.894 6.894
angles: 145.88 128.95 62.84
Sites, in units of the cell vectors:
K: 0.000 0.000 0.000
Zn: 0.500 0.500 0.000
Ag: 0.283 0.783 0.500
Ag: 0.717 0.217 0.500
F: 0.132 0.375 0.757
F: 0.382 0.625 0.757
F: 0.500 0.000 0.500
F: 0.618 0.375 0.243
F: 0.868 0.625 0.243

Its total magnetic moment is 0.0 μB/cell. The formation energy from raw total energies comes out at -1.82 eV per atom.

=====

Entry 2:
Material: Mg7Cu
Method: DFT, PBE
State: relaxed

abc: 6.156 6.156 5.075
angles: 90.00 90.00 120.00
Sites, in units of the cell vectors:
Mg: 0.000 0.000 0.000
Mg: 0.166 0.332 0.500
Mg: 0.166 0.834 0.500
Mg: 0.505 0.010 0.000
Mg: 0.505 0.495 0.000
Mg: 0.668 0.834 0.500
Mg: 0.990 0.495 0.000
Cu: 0.667 0.333 0.500

For the calculated formation energy, the calculation gives 0.015 eV/atom. For the density of states at the Fermi level, the calculation gives 0.242 states/eV per atom. Its total magnetic moment is 0.0 μB/cell. The value obtained for the excess energy over the best structure of this formula in the dataset is 0 meV/atom.